Here is an optimized crystal structure of KTlAsPd from the Alexandria database. Energies are from GGA-PBE.

Lattice parameters (Å, degrees): 4.2714 4.2714 7.5779 90.02 106.37 119.95
Fractional coordinates of all 4 atoms:
As1 0.5068 0.6180 0.1248
K1 0.3906 0.0604 0.4510
Pd1 0.8148 0.2718 0.0866
Tl1 0.9799 0.8542 0.8341

Properties
**SG**: R3m
**Total energy**: -0.271 Ry per atom

Here is an optimized crystal structure of KPmAs2 from the Alexandria database. Energies are from GGA-PBE.

Lattice parameters (Å, degrees): 4.1032 4.9854 4.9854 90.00 90.00 90.00
Fractional coordinates of all 4 atoms:
Pm1 0.5000 0.0000 0.0000
K1 0.5000 0.5000 0.5000
As1 0.0000 0.0000 0.5000
As2 0.0000 0.5000 0.0000

Properties
**SG**: P4/mmm
**Offset from the most stable computed form**: 288.9 meV per atom
**Total energy**: -0.317 Ry per atom

Here is an optimized crystal structure of KPmAs from the Alexandria database. Energies are from GGA-PBE.

Lattice parameters (Å, degrees): 4.0497 4.0497 7.6827 105.28 105.28 90.00
Fractional coordinates of all 3 atoms:
Pm1 0.2670 0.2670 0.5340
K1 0.0070 0.0070 0.0141
As1 0.7260 0.7260 0.4519

Properties
**SG**: I4mm
**Offset from the most stable computed form**: 112.1 meV per atom
**Total energy**: -0.303 Ry per atom

Here is an optimized crystal structure of KPmAs2 from the Alexandria database. Energies are from GGA-PBE.

Lattice parameters (Å, degrees): 5.2837 5.2837 5.2837 60.00 60.00 60.00
Fractional coordinates of all 4 atoms:
As1 0.2500 0.2500 0.2500
As2 0.7500 0.7500 0.7500
K1 0.0000 0.0000 0.0000
Pm1 0.5000 0.5000 0.5000

Properties
**SG**: Fm-3m
**Offset from the most stable computed form**: 341.3 meV per atom
**Total energy**: -0.313 Ry per atom

Among the records above, which one has the lowest total energy?
number 2

Repeat the third record exactly.
Here is an optimized crystal structure of KPmAs from the Alexandria database. Energies are from GGA-PBE.

Lattice parameters (Å, degrees): 4.0497 4.0497 7.6827 105.28 105.28 90.00
Fractional coordinates of all 3 atoms:
Pm1 0.2670 0.2670 0.5340
K1 0.0070 0.0070 0.0141
As1 0.7260 0.7260 0.4519

Properties
**SG**: I4mm
**Offset from the most stable computed form**: 112.1 meV per atom
**Total energy**: -0.303 Ry per atom